Record 1
This record from Alexandria via LeMat-Bulk describes CaCdRh2 after structural relaxation. The functional is PBE.

Geometry as CIF:
```
data_CaCdRh2
_symmetry_space_group_name_H-M 'C 1 m 1'
_symmetry_Int_Tables_number 8
_cell_length_a 13.874
_cell_length_b 4.591
_cell_length_c 5.411
_cell_angle_alpha 90.00
_cell_angle_beta 111.93
_cell_angle_gamma 90.00
loop_
_symmetry_equiv_pos_as_xyz
'x,y,z'
'x,-y,z'
'x+1/2,y+1/2,z'
'x+1/2,-y+1/2,z'
loop_
_atom_site_label
_atom_site_fract_x
_atom_site_fract_y
_atom_site_fract_z
Ca1 0.000 0.000 0.000
Ca2 0.213 0.500 0.169
Cd1 0.160 0.000 0.621
Cd2 0.365 0.000 0.098
Rh1 0.049 0.500 0.578
Rh2 0.278 0.500 0.711
Rh3 0.361 0.000 0.593
Rh4 0.438 0.500 0.464
```

***

Record 2
This record from Alexandria via LeMat-Bulk describes Ca2CdRh after structural relaxation. The functional is PBE.

Geometry as CIF:
```
data_Ca2CdRh
_symmetry_space_group_name_H-M 'I m m m'
_symmetry_Int_Tables_number 71
_symmetry_space_group_name_Hall '-I 2 2'
_cell_length_a 3.577
_cell_length_b 4.085
_cell_length_c 16.257
_cell_angle_alpha 90.00
_cell_angle_beta 90.00
_cell_angle_gamma 90.00
loop_
_atom_site_label
_atom_site_fract_x
_atom_site_fract_y
_atom_site_fract_z
Ca1 0.000 0.000 0.159
Cd1 0.000 0.000 0.500
Rh1 0.000 0.000 0.000
```

***

Record 3
This record from Alexandria via LeMat-Bulk describes Ca3Cd2Rh after structural relaxation. The functional is PBE.

Geometry as CIF:
```
data_Ca3Cd2Rh
_symmetry_space_group_name_H-M 'P n m a'
_symmetry_Int_Tables_number 62
_cell_length_a 12.555
_cell_length_b 4.401
_cell_length_c 12.291
_cell_angle_alpha 90.00
_cell_angle_beta 90.00
_cell_angle_gamma 90.00
loop_
_symmetry_equiv_pos_as_xyz
'x,y,z'
'-x,-y,-z'
'-x+1/2,-y,z+1/2'
'x+1/2,y,-z+1/2'
'x+1/2,-y+1/2,-z+1/2'
'-x+1/2,y+1/2,z+1/2'
'-x,y+1/2,-z'
'x,-y+1/2,z'
loop_
_atom_site_label
_atom_site_fract_x
_atom_site_fract_y
_atom_site_fract_z
Ca1 0.049 0.250 0.126
Ca2 0.113 0.750 0.542
Ca3 0.243 0.250 0.786
Cd1 0.000 0.250 0.694
Cd2 0.196 0.750 0.990
Rh1 0.118 0.250 0.368
```

***

Record 4
This record from Alexandria via LeMat-Bulk describes Ca7Cd2Rh2 after structural relaxation. The functional is PBE.

Geometry as CIF:
```
data_Ca7Cd2Rh2
_symmetry_space_group_name_H-M 'C m m m'
_symmetry_Int_Tables_number 65
_symmetry_space_group_name_Hall '-C 2 2'
_cell_length_a 8.469
_cell_length_b 11.159
_cell_length_c 7.221
_cell_angle_alpha 90.00
_cell_angle_beta 90.00
_cell_angle_gamma 90.00
loop_
_atom_site_label
_atom_site_fract_x
_atom_site_fract_y
_atom_site_fract_z
Ca1 0.000 0.000 0.000
Ca2 0.000 0.500 0.236
Ca3 0.250 0.250 0.248
Cd1 0.171 0.000 0.500
Rh1 0.000 0.287 0.000
```

***

Record 5
This record from Alexandria via LeMat-Bulk describes Ca2CdRh after structural relaxation. The functional is PBE.

Geometry as CIF:
```
data_Ca2CdRh
_symmetry_space_group_name_H-M 'R -3 m'
_symmetry_Int_Tables_number 166
_symmetry_space_group_name_Hall '-R 3 2"'
_cell_length_a 3.6104
_cell_length_b 3.6104
_cell_length_c 27.8770
_cell_angle_alpha 90.00
_cell_angle_beta 90.00
_cell_angle_gamma 120.00
loop_
_atom_site_label
_atom_site_fract_x
_atom_site_fract_y
_atom_site_fract_z
Ca1 0.0000 0.0000 0.2354
Cd1 0.0000 0.0000 0.0000
Rh1 0.0000 0.0000 0.5000
```

***

Record 6
This record from Alexandria via LeMat-Bulk describes CaCd8Rh4 after structural relaxation. The functional is PBE.

Geometry as CIF:
```
data_CaCd8Rh4
_symmetry_space_group_name_H-M 'I 4/m m m'
_symmetry_Int_Tables_number 139
_symmetry_space_group_name_Hall '-I 4 2'
_cell_length_a 9.365
_cell_length_b 9.365
_cell_length_c 5.928
_cell_angle_alpha 90.00
_cell_angle_beta 90.00
_cell_angle_gamma 90.00
loop_
_atom_site_label
_atom_site_fract_x
_atom_site_fract_y
_atom_site_fract_z
Ca1 0.000 0.000 0.000
Cd1 0.000 0.227 0.500
Cd2 0.000 0.325 0.000
Rh1 0.250 0.250 0.250
```

***

It is found that the electronic total energy values, taken in the order of the records, are -74.3; -25.4; -69.6; -66.6; -38.3; -83.4 eV for the cell shown.